K2BaIrO6: relaxed, PBE.

```
K2BaIrO6
1.0
3.1837 1.8381 5.0046
-3.1837 1.8381 5.0046
0.0000 -3.6762 5.0046
K Ba Ir O
2 1 1 6
direct
0.2418 0.2418 0.2418
0.7582 0.7582 0.7582
0.5000 0.5000 0.5000
0.0000 0.0000 0.0000
0.1444 0.8020 0.2721
0.1980 0.7279 0.8556
0.2721 0.1444 0.8020
0.7279 0.8556 0.1980
0.8020 0.2721 0.1444
0.8556 0.1980 0.7279
```

Values from the calculation:
- density (g/cm3) = 4.76
- energy (eV per atom) = -5.60
- magnetic moment (μB/f.u.) = 0.025
- symmetry = R-3 (148)
- raw formation energy (eV/atom) = -1.329